## LiAgOs2 (meta-GGA SCAN)

Data for a PBEsol-optimized structure of LiAgOs2.

The space group is Pmm2 (No. 25) and the conventional cell measures 2.701, 3.864 and 5.558 Å, with angles of 90.00, 90.00 and 90.00 degrees. The distinct sites, in fractional coordinates, are Li at (0.000, 0.000, 0.000), Ag at (0.500, 0.500, 0.794), Os at (0.000, 0.000, 0.472) and Os at (0.500, 0.500, 0.294).

The magnetic moment is 0.000 μB/cell. Its formation enthalpy at 0 K is 0.214 eV/atom. The calculation puts the energy above the lowest structure with this stoichiometry at 0.000 eV/atom. The crystal system is orthorhombic. The calculation puts the density of states at the Fermi level at 2.085 states/eV/cell. The total energy comes out at -176.662 eV/f.u.

***

## LiAg3Os (meta-GGA SCAN)

Data for a PBEsol-optimized structure of LiAg3Os.

The space group is Pm-3m (No. 221) and the conventional cell measures 5.021, 5.021 and 5.021 Å, with angles of 90.00, 90.00 and 90.00 degrees. The distinct sites, in fractional coordinates, are Li at (0.000, 0.000, 0.000), Ag at (0.000, 0.500, 0.500) and Os at (0.500, 0.500, 0.500).

The magnetic moment is 2.287 μB/cell. Its formation enthalpy at 0 K is 1.233 eV/atom. The crystal system is cubic. The calculation puts the density of states at the Fermi level at 1.906 states/eV/cell. The total energy comes out at -162.207 eV/f.u.

***

## LiAgTeOs2 (meta-GGA SCAN)

Data for a PBEsol-optimized structure of LiAgTeOs2.

The space group is P4/mmm (No. 123) and the conventional cell measures 4.837, 4.837 and 4.057 Å, with angles of 90.00, 90.00 and 90.00 degrees. The distinct sites, in fractional coordinates, are Li at (0.000, 0.000, 0.000), Ag at (0.000, 0.000, 0.500), Te at (0.500, 0.500, 0.000) and Os at (0.000, 0.500, 0.500).

The magnetic moment is 1.349 μB/cell. The crystal system is tetragonal. The calculation puts the density of states at the Fermi level at 3.786 states/eV/cell. As for the formation energy (no corrections): 1786.4 meV/atom. The total energy comes out at -205.836 eV/f.u.

***

Repeat the first record exactly.
## LiAgOs2 (meta-GGA SCAN)

Data for a PBEsol-optimized structure of LiAgOs2.

The space group is Pmm2 (No. 25) and the conventional cell measures 2.701, 3.864 and 5.558 Å, with angles of 90.00, 90.00 and 90.00 degrees. The distinct sites, in fractional coordinates, are Li at (0.000, 0.000, 0.000), Ag at (0.500, 0.500, 0.794), Os at (0.000, 0.000, 0.472) and Os at (0.500, 0.500, 0.294).

The magnetic moment is 0.000 μB/cell. Its formation enthalpy at 0 K is 0.214 eV/atom. The calculation puts the energy above the lowest structure with this stoichiometry at 0.000 eV/atom. The crystal system is orthorhombic. The calculation puts the density of states at the Fermi level at 2.085 states/eV/cell. The total energy comes out at -176.662 eV/f.u.

***

Q: Which of these has the highest magnetic moment?
A: LiAg3Os